Crystalline GaSiNi14 at its relaxed geometry, computed with PBE-GGA.

The value obtained for the density of states at the Fermi level is 26.17 states/eV per cell. The formation energy from raw total energies is -0.161 eV per atom. For the total magnetization, the calculation gives 4.9 μB/f.u.

The structure belongs to space group P4/mmm (No. 123); the cell edges are 5.025, 5.025 and 6.959 Å and the angles 90.00°, 90.00° and 90.00°. The inequivalent atoms are Ga at (0.000, 0.000, 0.000), Si at (0.500, 0.500, 0.000), Ni at (0.000, 0.000, 0.500), Ni at (0.000, 0.500, 0.000), Ni at (0.000, 0.500, 0.500), Ni at (0.253, 0.253, 0.250) and Ni at (0.500, 0.500, 0.500).



Crystalline La2Pr4Ho3 at its relaxed geometry, computed with PBE-GGA.

The value obtained for the density of states at the Fermi level is 16.64 states/eV per cell. The value obtained for the formation enthalpy at 0 K is 0.0549 eV per atom. For the total magnetization, the calculation gives 0.0 μB/f.u.

The structure belongs to space group P3m1 (No. 156); the cell edges are 3.6552, 3.6552 and 27.4059 Å and the angles 90.00°, 90.00° and 120.00°. The inequivalent atoms are La at (0.0000, 0.0000, 0.0000), La at (0.0000, 0.0000, 0.2126), Pr at (0.0000, 0.0000, 0.3463), Pr at (0.0000, 0.0000, 0.5568), Pr at (0.3333, 0.6667, 0.6714), Pr at (0.3333, 0.6667, 0.8833), Ho at (0.0000, 0.0000, 0.7777), Ho at (0.3333, 0.6667, 0.1076) and Ho at (0.3333, 0.6667, 0.4500).



Crystalline SnHSe at its relaxed geometry, computed with PBE-GGA.

The calculation puts the calculated total energy at -3.726 eV per atom. For the total magnetization, the calculation gives 0.0 μB/f.u.

The structure belongs to space group P1 (No. 1); the cell edges are 4.218, 6.146 and 6.157 Å and the angles 96.47°, 107.47° and 109.08°. The inequivalent atoms are Sn at (0.000, 0.000, 0.000), Sn at (0.209, 0.631, 0.528), H at (0.492, 0.867, 0.896), H at (0.539, 0.416, 0.991), Se at (0.853, 0.942, 0.518) and Se at (0.917, 0.514, 0.998).



Crystalline Sr2MgHRh at its relaxed geometry, computed with PBE-GGA.

The calculation puts the calculated total energy at -3.311 eV per atom. The value obtained for the density of states at the Fermi level is 3.63 states/eV per cell. For the total magnetization, the calculation gives 0.0 μB/f.u.

The structure belongs to space group P4/mmm (No. 123); the cell edges are 5.558, 5.558 and 3.750 Å and the angles 90.00°, 90.00° and 90.00°. The inequivalent atoms are Sr at (0.000, 0.500, 0.000), Mg at (0.000, 0.000, 0.500), H at (0.500, 0.500, 0.000) and Rh at (0.500, 0.500, 0.500).



Crystalline BeAgSb at its relaxed geometry, computed with PBE-GGA.

The value obtained for the density of states at the Fermi level is 3.08 states/eV per cell. The formation energy from raw total energies is 0.190 eV per atom. For the total magnetization, the calculation gives 0.0 μB/f.u.

The structure belongs to space group Pnma (No. 62); the cell edges are 8.967, 4.221 and 5.964 Å and the angles 90.00°, 90.00° and 90.00°. The inequivalent atoms are Be at (0.112, 0.250, 0.226), Ag at (0.110, 0.750, 0.501) and Sb at (0.152, 0.750, 0.991).



Crystalline CoPdS2N at its relaxed geometry, computed with PBE-GGA.

The value obtained for the density of states at the Fermi level is 3.23 states/eV per cell. The formation energy from raw total energies is 1.183 eV per atom. For the total magnetization, the calculation gives 3.4 μB/f.u.

The structure belongs to space group P4/mmm (No. 123); the cell edges are 4.877, 4.877 and 3.670 Å and the angles 90.00°, 90.00° and 90.00°. The inequivalent atoms are Co at (0.000, 0.000, 0.000), Pd at (0.500, 0.500, 0.500), S at (0.000, 0.500, 0.500) and N at (0.500, 0.500, 0.000).



Crystalline NaFePtW2 at its relaxed geometry, computed with PBE-GGA.

The value obtained for the density of states at the Fermi level is 7.28 states/eV per cell. The value obtained for the formation enthalpy at 0 K is 2.6399 eV per atom. For the total magnetization, the calculation gives 0.0 μB/f.u.

The structure belongs to space group P4/mmm (No. 123); the cell edges are 4.464, 4.464 and 4.121 Å and the angles 90.00°, 90.00° and 90.00°. The inequivalent atoms are Na at (0.000, 0.000, 0.000), Fe at (0.000, 0.000, 0.500), Pt at (0.500, 0.500, 0.500) and W at (0.000, 0.500, 0.000).



Crystalline GaRu2Rh at its relaxed geometry, computed with PBE-GGA.

The value obtained for the density of states at the Fermi level is 13.89 states/eV per cell. The value obtained for the formation enthalpy at 0 K is 1.0744 eV per atom. For the total magnetization, the calculation gives 0.0 μB/f.u.

The structure belongs to space group I-42d (No. 122); the cell edges are 5.752, 5.752 and 10.164 Å and the angles 90.00°, 90.00° and 90.00°. The inequivalent atoms are Ga at (0.000, 0.000, 0.000), Ru at (0.240, 0.250, 0.625) and Rh at (0.000, 0.000, 0.500).